(1)
Ce2CrSe6 after structural relaxation, computed with PBE-GGA.

Summary:
Space group: No. 14
Energy relative to the elements, uncorrected, kJ per mole of atoms: -116.0
V, Å³ per atom: 23.4
Calculated total energy, eV/atom: -5.91

POSCAR file:
```
Ce2CrSe6
1.0
6.0085 0.0000 0.2513
0.0000 7.5983 0.0000
-0.4110 0.0000 9.1890
Cr Se Ce
2 12 4
Direct
0.5000 0.5000 0.0000
0.0000 0.0000 0.5000
0.5996 0.4776 0.2621
0.4004 0.5224 0.7379
0.0996 0.0224 0.7621
0.6487 0.1677 0.5487
0.3545 0.8031 0.0479
0.1487 0.3323 0.0487
0.8545 0.6969 0.5479
0.9004 0.9776 0.2379
0.3513 0.8323 0.4513
0.8513 0.6677 0.9513
0.1455 0.3031 0.4521
0.6455 0.1969 0.9521
0.4302 0.1173 0.2443
0.5698 0.8827 0.7557
0.9302 0.3827 0.7443
0.0698 0.6173 0.2557
```

(2)
CeCrSe3 after structural relaxation, computed with PBE-GGA.

Summary:
Distance to the lowest polymorph of the same formula, meV/atom: 40
Space group: No. 65
Energy relative to the elements, uncorrected, kJ per mole of atoms: -102.2
V, Å³ per atom: 23.1
Calculated total energy, eV/atom: -6.26

POSCAR file:
```
CeCrSe3
1.0
3.8761 -0.0001 0.0013
0.0004 7.4682 2.6944
-0.0015 -0.0660 7.9393
Se Cr Ce
6 2 2
Direct
0.8638 0.3732 0.8217
0.8640 0.0150 0.6710
0.8623 0.7699 0.4252
0.3637 0.0238 0.0758
0.8626 0.6183 0.0677
0.3633 0.3648 0.4170
0.3640 0.1942 0.7463
0.3622 0.6943 0.2463
0.3631 0.6941 0.7465
0.8635 0.1939 0.2469
```

(3)
Ce3Cr5Se12 after structural relaxation, computed with PBE-GGA.

Summary:
Space group: No. 230
Energy relative to the elements, uncorrected, kJ per mole of atoms: -88.8
V, Å³ per atom: 24.5
Calculated total energy, eV/atom: -6.31

POSCAR file:
```
Ce3Cr5Se12
1.0
13.6481 0.0000 0.0000
-4.5494 12.8675 0.0000
-4.5494 -6.4338 11.1436
Se Ce Cr
48 12 20
Direct
0.0889 0.9123 0.1200
0.5877 0.7077 0.6767
0.2077 0.6767 0.0877
0.1200 0.4123 0.0889
0.1767 0.0877 0.7077
0.0877 0.1767 0.2077
0.4111 0.0311 0.3233
0.0311 0.4111 0.8233
0.8233 0.9111 0.0311
0.9689 0.3800 0.2923
0.9123 0.0889 0.6200
0.2923 0.4123 0.8233
0.4111 0.3800 0.5877
0.7923 0.3233 0.9123
0.6767 0.2077 0.5877
0.4689 0.6767 0.0889
0.0877 0.9111 0.3800
0.2077 0.5311 0.6200
0.2923 0.8800 0.9689
0.8800 0.5877 0.9111
0.6200 0.0311 0.2077
0.9111 0.0877 0.8800
0.5889 0.6200 0.4123
0.3800 0.4111 0.0877
0.7923 0.4689 0.3800
0.1200 0.7077 0.5311
0.9111 0.8233 0.5311
0.5877 0.8800 0.4111
0.4123 0.2923 0.3233
0.7077 0.1200 0.0311
0.1767 0.0889 0.9689
0.8233 0.9123 0.2923
0.4689 0.7923 0.8800
0.0311 0.6200 0.7077
0.6200 0.5889 0.9123
0.7077 0.5877 0.1767
0.5889 0.9689 0.6767
0.3233 0.7923 0.4123
0.5311 0.2077 0.1200
0.8800 0.2923 0.4689
0.0889 0.1767 0.4689
0.4123 0.1200 0.5889
0.9689 0.5889 0.1767
0.5311 0.3233 0.9111
0.3233 0.5311 0.4111
0.3800 0.9689 0.7923
0.6767 0.4689 0.5889
0.9123 0.8233 0.7923
0.6250 0.2500 0.3750
0.8750 0.1250 0.2500
0.1250 0.2500 0.8750
0.3750 0.7500 0.6250
0.7500 0.8750 0.6250
0.8750 0.7500 0.1250
0.1250 0.8750 0.7500
0.6250 0.3750 0.7500
0.3750 0.6250 0.2500
0.7500 0.3750 0.1250
0.2500 0.6250 0.8750
0.2500 0.1250 0.3750
0.8750 0.2500 0.6250
0.5000 0.5000 0.0000
0.1250 0.3750 0.2500
0.3750 0.2500 0.1250
0.5000 0.0000 0.5000
0.1250 0.7500 0.3750
0.2500 0.3750 0.6250
0.3750 0.1250 0.7500
0.5000 0.5000 0.5000
0.0000 0.5000 0.0000
0.8750 0.6250 0.7500
0.2500 0.8750 0.1250
0.0000 0.0000 0.5000
0.6250 0.8750 0.2500
0.0000 0.5000 0.5000
0.6250 0.7500 0.8750
0.7500 0.6250 0.3750
0.7500 0.1250 0.8750
0.5000 0.0000 0.0000
0.0000 0.0000 0.0000
```

(4)
CeCrSe3 after structural relaxation, computed with PBE-GGA.

Summary:
Distance to the lowest polymorph of the same formula, meV/atom: 0
Space group: No. 12
Energy relative to the elements, uncorrected, kJ per mole of atoms: -106.0
V, Å³ per atom: 23.2
Calculated total energy, eV/atom: -6.30

POSCAR file:
```
CeCrSe3
1.0
3.8598 0.0000 -0.0005
1.9298 6.0894 0.1709
0.0012 2.9257 9.9642
Se Cr Ce
6 2 2
Direct
0.4555 0.6576 0.7128
0.2327 0.1031 0.3463
0.9883 0.5921 0.4268
0.2069 0.1547 0.9320
0.6999 0.1686 0.6323
0.4813 0.6060 0.1271
0.0841 0.4003 0.6805
0.6041 0.3604 0.3786
0.9007 0.7671 0.8897
0.7874 0.9936 0.1694
```

(5)
CeTl3Cr2Se6 after structural relaxation, computed with PBE-GGA.

Summary:
Space group: No. 12
Energy relative to the elements, uncorrected, kJ per mole of atoms: -71.6
V, Å³ per atom: 26.0
Calculated total energy, eV/atom: -5.17

POSCAR file:
```
CeTl3Cr2Se6
1.0
6.7806 0.0093 -0.0072
-3.3806 5.8778 -0.0072
-1.1455 -1.9834 7.8279
Ce Se Cr Tl
1 6 2 3
Direct
0.0000 0.0000 0.0000
0.0641 0.4315 0.1905
0.6949 0.6949 0.1838
0.9359 0.5685 0.8095
0.3051 0.3051 0.8162
0.4315 0.0641 0.1905
0.5685 0.9359 0.8095
0.6668 0.3332 0.0000
0.3332 0.6668 0.0000
0.5000 0.5000 0.5000
0.8428 0.1572 0.5000
0.1572 0.8428 0.5000
```

(6)
CeCrSi2Tc after structural relaxation, computed with PBE-GGA.

Summary:
Space group: No. 119
Energy relative to the elements, uncorrected, kJ per mole of atoms: -50.9
V, Å³ per atom: 17.2
Calculated total energy, eV/atom: -7.88

POSCAR file:
```
CeCrSi2Tc
1.0
4.0588 0.0000 0.0000
0.0000 4.0588 0.0000
-2.0294 -2.0294 5.2052
Si Ce Cr Tc
2 1 1 1
Direct
0.6192 0.6192 0.2383
0.3808 0.3808 0.7617
0.0000 0.0000 0.0000
0.7500 0.2500 0.5000
0.2500 0.7500 0.5000
```

(7)
CeCrTc after structural relaxation, computed with PBE-GGA.

Summary:
Space group: No. 74
Energy of formation from the pure elements, meV/atom: 56.7
V, Å³ per atom: 17.4
Calculated total energy, eV/atom: -8.58

POSCAR file:
```
CeCrTc
1.0
5.3424 0.2651 0.3864
-2.3747 4.7929 -0.3864
2.9928 1.6437 4.1355
Ce Tc Cr
2 2 2
Direct
0.7500 0.8738 0.3762
0.2500 0.1262 0.6238
0.0000 0.5000 0.0000
0.5000 0.0000 0.0000
0.5000 0.5000 0.0000
0.0000 0.5000 0.5000
```

(8)
CeCrTe2 after structural relaxation, computed with PBE-GGA.

Summary:
Space group: No. 166
Energy relative to the elements, uncorrected, kJ per mole of atoms: -57.1
V, Å³ per atom: 27.8
Calculated total energy, eV/atom: -6.05

POSCAR file:
```
CeCrTe2
1.0
4.5072 0.0000 0.0000
2.2536 3.9033 0.0000
2.2536 1.3011 6.3261
Te Ce Cr
2 1 1
Direct
0.2406 0.2406 0.2782
0.7594 0.7594 0.7218
0.0000 0.0000 0.0000
0.5000 0.5000 0.5000
```

Q: The highest calculated total energy belongs to which entry?
A: CeTl3Cr2Se6

Q: Which value of V does entry 4 give?
A: 23.2 Å³ per atom

Q: Which value of V does entry 5 give?
A: 26.0 Å³ per atom

Q: Among the records above, which one has the lowest calculated total energy?
A: CeCrTc